Computed, not measured: Na4Tl3Ag after structural relaxation at the PBE level of DFT.

abc: 4.817 4.817 9.903
angles: 103.87 103.87 90.47
Element x y z (fractional)
Na: 0.121 0.621 0.741
Na: 0.379 0.879 0.259
Na: 0.621 0.121 0.741
Na: 0.879 0.379 0.259
Tl: 0.000 0.000 0.500
Tl: 0.251 0.251 0.997
Tl: 0.749 0.749 0.003
Ag: 0.500 0.500 0.500

Computed properties:
The calculation puts the total magnetization at 0.000 μB/atom. As for the symmetry: C2/m (12). The final energy is -1.96 eV/atom.



Computed, not measured: NaTl2Ag after structural relaxation at the PBE level of DFT.

abc: 11.180 11.180 11.180
angles: 156.45 156.45 33.55
Element x y z (fractional)
Na: 0.000 0.000 0.000
Na: 0.750 0.250 0.500
Tl: 0.135 0.625 0.010
Tl: 0.375 0.385 0.510
Tl: 0.615 0.125 0.990
Tl: 0.875 0.865 0.490
Ag: 0.250 0.750 0.500
Ag: 0.500 0.500 0.000

Computed properties:
The calculation puts the total magnetization at 0.000 μB/atom. As for the symmetry: I-42d (122). The final energy is -2.13 eV/atom.



Computed, not measured: Na2Tl2Ag3 after structural relaxation at the PBE level of DFT.

abc: 6.013 6.013 7.272
angles: 110.85 110.85 45.73
Element x y z (fractional)
Na: 0.128 0.128 0.245
Na: 0.872 0.872 0.755
Tl: 0.163 0.163 0.720
Tl: 0.837 0.837 0.280
Ag: 0.403 0.403 0.079
Ag: 0.500 0.500 0.500
Ag: 0.597 0.597 0.921

Computed properties:
The calculation puts the total magnetization at 0.000 μB/atom. As for the symmetry: C2/m (12). The final energy is -2.27 eV/atom.



Computed, not measured: Na3Tl7Ag2 after structural relaxation at the PBE level of DFT.

abc: 10.467 10.467 10.467
angles: 36.47 36.47 36.47
Element x y z (fractional)
Na: 0.000 0.000 0.000
Na: 0.142 0.142 0.142
Na: 0.858 0.858 0.858
Tl: 0.071 0.584 0.584
Tl: 0.416 0.416 0.929
Tl: 0.416 0.929 0.416
Tl: 0.500 0.500 0.500
Tl: 0.584 0.071 0.584
Tl: 0.584 0.584 0.071
Tl: 0.929 0.416 0.416
Ag: 0.336 0.336 0.336
Ag: 0.664 0.664 0.664

Computed properties:
The calculation puts the total magnetization at 0.000 μB/atom. As for the symmetry: R-3m (166). The final energy is -2.15 eV/atom.